No. 1
DFT (GGA-PBE) results for a relaxed Ba4ZrCl crystal.

Structure (CIF):
```
data_Ba4ZrCl
_chemical_formula_sum 'Ba4 Zr1 Cl1'
_symmetry_space_group_name_H-M 'P 1'
_symmetry_Int_Tables_number 1
_symmetry_space_group_name_Hall 'P 1'
_cell_length_a 7.4526
_cell_length_b 7.4526
_cell_length_c 7.4526
_cell_angle_alpha 60.00
_cell_angle_beta 60.00
_cell_angle_gamma 60.00
loop_
_atom_site_label
_atom_site_type_symbol
_atom_site_fract_x
_atom_site_fract_y
_atom_site_fract_z
_atom_site_occupancy
Ba1 Ba 0.3760 0.3760 0.3760 1
Ba2 Ba 0.3760 0.3760 0.8719 1
Ba3 Ba 0.3760 0.8719 0.3760 1
Ba4 Ba 0.8719 0.3760 0.3760 1
Zr1 Zr 0.7500 0.7500 0.7500 1
Cl1 Cl 0.0000 0.0000 0.0000 1
```

## Properties
DOS at the Fermi energy: 7.2 states/eV/f.u.
volume: 292.7 Å³/cell
space group: F-43m
ΔE_f (raw): 0.493 eV/atom
raw total energy: -15.13 eV/f.u.

=====

No. 2
DFT (GGA-PBE) results for a relaxed MnCuSbRh crystal.

Structure (CIF):
```
data_MnCuSbRh
_chemical_formula_sum 'Mn1 Cu1 Sb1 Rh1'
_symmetry_space_group_name_H-M 'P 1'
_symmetry_Int_Tables_number 1
_symmetry_space_group_name_Hall 'P 1'
_cell_length_a 4.4277
_cell_length_b 4.4277
_cell_length_c 4.4277
_cell_angle_alpha 60.00
_cell_angle_beta 60.00
_cell_angle_gamma 60.00
loop_
_atom_site_label
_atom_site_type_symbol
_atom_site_fract_x
_atom_site_fract_y
_atom_site_fract_z
_atom_site_occupancy
Mn1 Mn 0.0000 0.0000 0.0000 1
Cu1 Cu 0.2500 0.2500 0.2500 1
Sb1 Sb 0.7500 0.7500 0.7500 1
Rh1 Rh 0.5000 0.5000 0.5000 1
```

## Properties
DOS at the Fermi energy: 3.1 states/eV/f.u.
volume: 61.4 Å³/cell
space group: F-43m
ΔE_f (raw): -0.054 eV/atom
raw total energy: -24.96 eV/f.u.

=====

No. 3
DFT (GGA-PBE) results for a relaxed BaSeO2F crystal.

Structure (CIF):
```
data_BaSeO2F
_chemical_formula_sum 'Ba1 Se1 O2 F1'
_symmetry_space_group_name_H-M 'P 1'
_symmetry_Int_Tables_number 1
_symmetry_space_group_name_Hall 'P 1'
_cell_length_a 4.0144
_cell_length_b 4.0144
_cell_length_c 5.0460
_cell_angle_alpha 90.00
_cell_angle_beta 90.00
_cell_angle_gamma 90.00
loop_
_atom_site_label
_atom_site_type_symbol
_atom_site_fract_x
_atom_site_fract_y
_atom_site_fract_z
_atom_site_occupancy
Ba1 Ba 0.0000 0.0000 0.0000 1
Se1 Se 0.5000 0.5000 0.5000 1
O1 O 0.0000 0.5000 0.5000 1
O2 O 0.5000 0.0000 0.5000 1
F1 F 0.5000 0.5000 0.0000 1
```

## Properties
DOS at the Fermi energy: 1.3 states/eV/f.u.
volume: 81.3 Å³/cell
space group: P4/mmm
ΔE_f (raw): -1.680 eV/atom
raw total energy: -25.60 eV/f.u.